A plane-wave DFT calculation with GGA-PBE was carried out for a geometry-optimized LiLaTb structure.

Computed properties:
Energy relative to the elements in eV/f.u.: 0.26
Space-group type: I4mm, No. 107
V in Å³/f.u.: 89.35

```
LiLaTb
1.0
-1.8927 1.8927 6.2349
1.8927 -1.8927 6.2349
1.8927 1.8927 -6.2349
Li La Tb
1 1 1
Direct
0.0000 0.0000 0.0000
0.3386 0.3386 0.0000
0.6425 0.6425 0.0000
```